No. 1
NdThHg2: relaxed, PBE-GGA.

Unit cell a=3.813 b=3.813 c=7.717 alpha=90.00 beta=90.00 gamma=90.00
Positions (direct):
Nd 0.500 0.500 0.500
Hg 0.000 0.000 0.747
Hg 0.000 0.000 0.253
Th 0.500 0.500 0.000

## Properties
Energy relative to the lowest polymorph listed for this composition: 0 meV per atom
Calculated formation energy: -0.33 eV per atom

No. 2
LaPr5Er2Sc: relaxed, PBE-GGA.

Unit cell a=5.707 b=10.571 c=10.587 alpha=90.00 beta=90.00 gamma=105.66
Positions (direct):
La 0.589 0.179 0.957
La 0.411 0.821 0.457
Pr 0.374 0.748 0.018
Pr 0.724 0.449 0.822
Pr 0.486 0.972 0.742
Pr 0.298 0.595 0.708
Pr 0.983 0.967 0.517
Pr 0.626 0.252 0.518
Pr 0.276 0.551 0.322
Pr 0.514 0.028 0.242
Pr 0.702 0.405 0.208
Pr 0.017 0.033 0.017
Er 0.888 0.776 0.808
Er 0.116 0.233 0.737
Er 0.112 0.224 0.308
Er 0.884 0.767 0.237
Sc 0.806 0.612 0.514
Sc 0.194 0.388 0.014

## Properties
Calculated formation energy: 0.16 eV per atom

No. 3
Zr2ZnRhF: relaxed, PBE-GGA.

Unit cell a=4.424 b=4.291 c=4.424 alpha=90.00 beta=90.00 gamma=90.00
Positions (direct):
Zn 0.000 0.500 0.000
Rh 0.500 0.500 0.500
Zr 0.000 0.000 0.500
Zr 0.500 0.000 0.000
F 0.000 0.000 0.000

## Properties
E_form (uncorrected): -3.2 eV per formula unit

No. 4
Sc5Pt: relaxed, PBE-GGA.

Unit cell a=7.562 b=7.562 c=4.868 alpha=90.00 beta=90.00 gamma=152.04
Positions (direct):
Sc 0.801 0.199 0.500
Sc 0.619 0.381 0.000
Sc 0.472 0.528 0.500
Sc 0.326 0.674 0.000
Sc 0.142 0.858 0.500
Pt 0.973 0.027 0.000

## Properties
Energy relative to the lowest polymorph listed for this composition: 65 meV per atom
Calculated formation energy: -0.36 eV per atom

No. 5
TlIr2Au: relaxed, PBE-GGA.

Unit cell a=2.925 b=2.925 c=9.403 alpha=90.00 beta=90.00 gamma=119.39
Positions (direct):
Au 0.500 0.500 0.750
Ir 0.000 0.000 0.000
Ir 0.000 0.000 0.500
Tl 0.500 0.500 0.250

## Properties
Energy relative to the lowest polymorph listed for this composition: 258 meV per atom
Calculated formation energy: 0.64 eV per atom

No. 6
Pm2ZrAs4Rh3: relaxed, PBE-GGA.

Unit cell a=4.312 b=4.312 c=10.538 alpha=90.00 beta=90.00 gamma=90.00
Positions (direct):
Pm 0.500 0.000 0.227
Pm 0.000 0.500 0.773
Zr 0.500 0.500 0.500
As 0.500 0.500 0.000
As 0.000 0.000 0.000
As 0.500 0.000 0.651
As 0.000 0.500 0.349
Rh 0.000 0.000 0.500
Rh 0.500 0.000 0.886
Rh 0.000 0.500 0.114

## Properties
Calculated formation energy: -0.95 eV per atom

No. 7
Pr3SmTl4: relaxed, PBE-GGA.

Unit cell a=3.916 b=3.916 c=15.669 alpha=90.00 beta=90.00 gamma=90.00
Positions (direct):
Pr 0.500 0.500 0.247
Pr 0.500 0.500 0.500
Pr 0.500 0.500 0.753
Tl 0.000 0.000 0.880
Tl 0.000 0.000 0.120
Tl 0.000 0.000 0.373
Tl 0.000 0.000 0.627
Sm 0.500 0.500 0.000

## Properties
Energy relative to the lowest polymorph listed for this composition: 0 meV per atom
Calculated formation energy: -0.39 eV per atom

No. 8
ReIN2F: relaxed, PBE-GGA.

Unit cell a=4.045 b=4.045 c=4.324 alpha=90.00 beta=90.00 gamma=90.00
Positions (direct):
I 0.000 0.000 0.500
Re 0.500 0.500 0.500
N 0.000 0.500 0.000
N 0.500 0.000 0.000
F 0.000 0.000 0.000

## Properties
Energy relative to the lowest polymorph listed for this composition: 2399 meV per atom
E_form (uncorrected): 13.6 eV per formula unit

Energy / eV/f.u.: -14.104; -42.831; -30.746; -39.854; -20.792; -68.210; -31.673; -18.938